1.
A relaxed TmMn2Ni9 crystal. Source: the Alexandria database, functional PBE-GGA.

Symmetry ... P4/mbm, No. 127
Relative energy among the computed polymorphs ... 0 meV per atom

a b c (Å): 4.7067 8.0446 8.0446
angles (deg): 90.00 90.00 90.00
With the nearest neighbours (Å) after each atom.
Fractional coordinates of all 24 atoms:
Tm: 0.0000 0.5000 0.5000  16 Ni 2.94-3.17, 4 Mn 3.21
Tm: 0.0000 0.0000 0.0000  16 Ni 2.94-3.17, 4 Mn 3.21
Mn: 0.0000 0.6189 0.1189  12 Ni 2.57-2.77, 1 Mn 2.71
Mn: 0.0000 0.3811 0.8811  12 Ni 2.57-2.77, 1 Mn 2.71
Mn: 0.0000 0.1189 0.3811  12 Ni 2.57-2.77, 1 Mn 2.71
Mn: 0.0000 0.8811 0.6189  12 Ni 2.57-2.77, 1 Mn 2.71
Ni: 0.5000 0.5000 0.0000  8 Ni 2.37-2.39
Ni: 0.5000 0.0000 0.5000  8 Ni 2.37-2.39
Ni: 0.5000 0.7096 0.5627  8 Ni 2.39-2.59
Ni: 0.5000 0.2904 0.4373  8 Ni 2.39-2.59
Ni: 0.5000 0.2096 0.9373  8 Ni 2.39-2.59
Ni: 0.5000 0.7904 0.0627  8 Ni 2.39-2.59
Ni: 0.5000 0.4373 0.7096  8 Ni 2.39-2.59
Ni: 0.5000 0.5627 0.2904  8 Ni 2.39-2.59
Ni: 0.5000 0.0627 0.2096  8 Ni 2.39-2.59
Ni: 0.5000 0.9373 0.7904  8 Ni 2.39-2.59
Ni: 0.7579 0.8213 0.3213  7 Ni 2.28-2.46
Ni: 0.7579 0.1787 0.6787  7 Ni 2.28-2.46
Ni: 0.7579 0.3213 0.1787  7 Ni 2.28-2.46
Ni: 0.7579 0.6787 0.8213  7 Ni 2.28-2.46
Ni: 0.2421 0.1787 0.6787  7 Ni 2.28-2.46
Ni: 0.2421 0.8213 0.3213  7 Ni 2.28-2.46
Ni: 0.2421 0.6787 0.8213  7 Ni 2.28-2.46
Ni: 0.2421 0.3213 0.1787  7 Ni 2.28-2.46



2.
A relaxed Pr3MgCu2 crystal. Source: the Alexandria database, functional PBE-GGA.

Symmetry ... P4/mmm, No. 123
Relative energy among the computed polymorphs ... 0 meV per atom

a b c (Å): 3.6527 3.6527 11.5886
angles (deg): 90.00 90.00 90.00
With the nearest neighbours (Å) after each atom.
Fractional coordinates of all 6 atoms:
Pr: 0.0000 0.0000 0.0000  8 Cu 3.18
Pr: 0.0000 0.0000 0.6918  4 Cu 3.10, 4 Mg 3.41
Pr: 0.0000 0.0000 0.3082  4 Cu 3.10, 4 Mg 3.41
Mg: 0.5000 0.5000 0.5000  8 Pr 3.41, 4 Mg 3.65
Cu: 0.5000 0.5000 0.8403  8 Pr 3.10-3.18
Cu: 0.5000 0.5000 0.1597  8 Pr 3.10-3.18



3.
A relaxed Cs4Pr3ZrS8 crystal. Source: the Alexandria database, functional PBE-GGA.

Symmetry ... R-3m, No. 166
Formation energy (no corrections) ... -1.68 eV per atom

a b c (Å): 8.3326 9.4222 8.3321
angles (deg): 116.25 120.00 90.00
With the nearest neighbours (Å) after each atom.
Fractional coordinates of all 16 atoms:
Cs: 0.5000 0.0000 0.0000  6 S 3.64
Cs: 0.5000 0.0000 0.5000  6 S 3.46
Cs: 0.0000 0.0000 0.0000  6 S 3.46
Cs: 0.0000 0.0000 0.5000  6 S 3.46
Pr: 0.5000 0.5000 0.0000  6 S 2.87-2.90
Pr: 0.5000 0.5000 0.5000  6 S 2.87-2.90
Pr: 0.0000 0.5000 0.5000  6 S 2.87-2.90
Zr: 0.0000 0.5000 0.0000  6 S 2.68
S: 0.2159 0.6830 0.9673  1 Zr 2.68, 2 Pr 2.90
S: 0.2159 0.6831 0.4318  1 Zr 2.68, 2 Pr 2.90
S: 0.2691 0.3075 0.5382  3 Pr 2.87
S: 0.7514 0.6830 0.9673  1 Zr 2.68, 2 Pr 2.90
S: 0.2486 0.3170 0.0327  1 Zr 2.68, 2 Pr 2.90
S: 0.7309 0.6925 0.4618  3 Pr 2.87
S: 0.7841 0.3169 0.5682  1 Zr 2.68, 2 Pr 2.90
S: 0.7841 0.3170 0.0327  1 Zr 2.68, 2 Pr 2.90



4.
A relaxed BaY2P crystal. Source: the Alexandria database, functional PBE-GGA.

Symmetry ... Amm2, No. 38
DFT total energy ... -5.5227 eV per atom

a b c (Å): 4.6268 4.3872 7.1859
angles (deg): 72.24 90.00 90.00
With the nearest neighbours (Å) after each atom.
Fractional coordinates of all 4 atoms:
Ba: 0.0000 0.5228 0.5792  4 P 3.54, 3 Y 3.70-3.86
Y: 0.0000 0.8052 0.0147  2 P 2.73
Y: 0.5000 0.2609 0.1034  2 P 3.01, 4 Y 3.25
P: 0.5000 0.9111 0.8027  4 Y 2.73-3.01